A plane-wave DFT calculation with PBE-GGA was carried out for a relaxed Hf3AgSe crystal.

Calculated values
* crystal system: cubic

Cell lengths 4.9045, 4.9045, 4.9045 Å; angles 90.00, 90.00, 90.00 degrees
Fractional positions:
Hf (0.0000, 0.5000, 0.0000)
Hf (0.0000, 0.0000, 0.5000)
Hf (0.5000, 0.0000, 0.0000)
Se (0.0000, 0.0000, 0.0000)
Ag (0.5000, 0.5000, 0.5000)

A plane-wave DFT calculation with PBE-GGA was carried out for a relaxed Hf3AgSe crystal.

Calculated values
* crystal system: cubic

Cell lengths 5.0903, 5.0903, 5.0903 Å; angles 90.00, 90.00, 90.00 degrees
Fractional positions:
Hf (0.0000, 0.5000, 0.0000)
Hf (0.0000, 0.0000, 0.5000)
Hf (0.5000, 0.0000, 0.0000)
Se (0.5000, 0.5000, 0.5000)
Ag (0.0000, 0.0000, 0.0000)

A plane-wave DFT calculation with PBE-GGA was carried out for a relaxed HfAgSe2 crystal.

Calculated values
* crystal system: tetragonal

Cell lengths 6.2473, 6.2473, 7.2195 Å; angles 64.36, 64.36, 90.00 degrees
Fractional positions:
Hf (0.0000, 0.0000, 0.0000)
Hf (0.7500, 0.2500, 0.5000)
Se (0.6389, 0.1250, 0.2500)
Se (0.1111, 0.6250, 0.2500)
Se (0.3750, 0.3611, 0.7500)
Se (0.8750, 0.8889, 0.7500)
Ag (0.5000, 0.5000, 0.0000)
Ag (0.2500, 0.7500, 0.5000)

A plane-wave DFT calculation with PBE-GGA was carried out for a relaxed HfAgSe2 crystal.

Calculated values
* crystal system: cubic

Cell lengths 4.8029, 4.8029, 4.8029 Å; angles 60.00, 60.00, 60.00 degrees
Fractional positions:
Hf (0.5000, 0.5000, 0.5000)
Se (0.2500, 0.2500, 0.2500)
Se (0.7500, 0.7500, 0.7500)
Ag (0.0000, 0.0000, 0.0000)

A plane-wave DFT calculation with PBE-GGA was carried out for a relaxed Tb3HfAg3Se8 crystal.

Calculated values
* crystal system: monoclinic

Cell lengths 8.2257, 8.2254, 8.1577 Å; angles 120.46, 90.00, 120.00 degrees
Fractional positions:
Tb (0.5000, 0.0000, 0.5000)
Tb (0.5000, 0.5000, 0.5000)
Tb (0.0000, 0.5000, 0.5000)
Hf (0.0000, 0.0000, 0.5000)
Ag (0.0000, 0.0000, 0.0000)
Ag (0.0000, 0.5000, 0.0000)
Ag (0.5000, 0.5000, 0.0000)
Se (0.2507, 0.5013, 0.2533)
Se (0.7493, 0.4987, 0.7467)
Se (0.7645, 0.5290, 0.2666)
Se (0.2355, 0.4710, 0.7334)
Se (0.7645, 0.0007, 0.2665)
Se (0.2355, 0.9993, 0.7335)
Se (0.2363, 0.0007, 0.2665)
Se (0.7637, 0.9993, 0.7335)

A plane-wave DFT calculation with PBE-GGA was carried out for a relaxed HfAgTeSe2 crystal.

Calculated values
* crystal system: tetragonal

Cell lengths 5.0128, 5.9641, 5.0128 Å; angles 90.00, 90.00, 90.00 degrees
Fractional positions:
Te (0.5000, 0.5000, 0.5000)
Hf (0.0000, 0.0000, 0.0000)
Se (0.0000, 0.0000, 0.5000)
Se (0.5000, 0.0000, 0.0000)
Ag (0.0000, 0.5000, 0.0000)

A plane-wave DFT calculation with PBE-GGA was carried out for a relaxed HfTlAg2Se4 crystal.

Calculated values
* crystal system: orthorhombic

Cell lengths 6.8711, 6.6674, 6.6674 Å; angles 67.81, 58.98, 58.98 degrees
Fractional positions:
Hf (0.5000, 0.5000, 0.5000)
Tl (0.0000, 0.0000, 0.0000)
Ag (0.1742, 0.3258, 0.3258)
Ag (0.8258, 0.6742, 0.6742)
Se (0.4636, 0.1241, 0.5442)
Se (0.1318, 0.8759, 0.4558)
Se (0.8682, 0.5442, 0.1241)
Se (0.5364, 0.4558, 0.8759)

A plane-wave DFT calculation with PBE-GGA was carried out for a relaxed HfTl2AgSe4 crystal.

Calculated values
* crystal system: monoclinic

Cell lengths 3.9091, 7.8958, 7.3286 Å; angles 70.53, 90.00, 90.00 degrees
Fractional positions:
Hf (0.0000, 0.5000, 0.5000)
Tl (0.0000, 0.0000, 0.0000)
Tl (0.5000, 0.0000, 0.5000)
Ag (0.5000, 0.5000, 0.0000)
Se (0.0000, 0.6868, 0.7577)
Se (0.0000, 0.3132, 0.2423)
Se (0.5000, 0.7102, 0.2928)
Se (0.5000, 0.2898, 0.7072)

A plane-wave DFT calculation with PBE-GGA was carried out for a relaxed Hf2Tl2AgSe6 crystal.

Calculated values
* crystal system: monoclinic

Cell lengths 6.8179, 6.8179, 8.0675 Å; angles 97.59, 97.59, 120.80 degrees
Fractional positions:
Hf (0.3308, 0.6692, 0.5000)
Hf (0.6692, 0.3308, 0.5000)
Tl (0.8399, 0.1601, 0.0000)
Tl (0.1601, 0.8399, 0.0000)
Ag (0.0000, 0.0000, 0.5000)
Se (0.7162, 0.7162, 0.6904)
Se (0.0663, 0.4227, 0.7035)
Se (0.2838, 0.2838, 0.3096)
Se (0.4227, 0.0663, 0.7035)
Se (0.9337, 0.5773, 0.2965)
Se (0.5773, 0.9337, 0.2965)

A plane-wave DFT calculation with PBE-GGA was carried out for a relaxed HfTl2Ag2Se4 crystal.

Calculated values
* crystal system: monoclinic

Cell lengths 4.0403, 8.0156, 7.9661 Å; angles 110.64, 104.69, 90.00 degrees
Fractional positions:
Hf (0.0000, 0.0000, 0.0000)
Tl (0.1412, 0.5845, 0.2823)
Tl (0.8588, 0.4155, 0.7177)
Ag (0.6793, 0.9673, 0.3586)
Ag (0.3207, 0.0327, 0.6414)
Se (0.1876, 0.2000, 0.3751)
Se (0.8124, 0.8000, 0.6249)
Se (0.5022, 0.7691, 0.0043)
Se (0.4978, 0.2309, 0.9957)

A plane-wave DFT calculation with PBE-GGA was carried out for a relaxed Tm3HfAg3Se8 crystal.

Calculated values
* crystal system: monoclinic

Cell lengths 8.0944, 8.0948, 8.1540 Å; angles 119.95, 90.00, 120.00 degrees
Fractional positions:
Tm (0.5000, 0.0000, 0.5000)
Tm (0.5000, 0.5000, 0.5000)
Tm (0.0000, 0.5000, 0.5000)
Hf (0.0000, 0.0000, 0.5000)
Ag (0.0000, 0.0000, 0.0000)
Ag (0.0000, 0.5000, 0.0000)
Ag (0.5000, 0.5000, 0.0000)
Se (0.2524, 0.5047, 0.2584)
Se (0.7476, 0.4953, 0.7416)
Se (0.7627, 0.5254, 0.2687)
Se (0.2373, 0.4746, 0.7313)
Se (0.7627, 0.0046, 0.2686)
Se (0.2373, 0.9954, 0.7314)
Se (0.2419, 0.0046, 0.2686)
Se (0.7581, 0.9954, 0.7314)

A plane-wave DFT calculation with PBE-GGA was carried out for a relaxed Hf2VAgSe crystal.

Calculated values
* crystal system: tetragonal

Cell lengths 5.1192, 4.9782, 5.1192 Å; angles 90.00, 90.00, 90.00 degrees
Fractional positions:
Hf (0.0000, 0.0000, 0.5000)
Hf (0.5000, 0.0000, 0.0000)
Se (0.0000, 0.5000, 0.0000)
Ag (0.0000, 0.0000, 0.0000)
V (0.5000, 0.5000, 0.5000)

A plane-wave DFT calculation with PBE-GGA was carried out for a relaxed Y2HfAgSe crystal.

Calculated values
* crystal system: tetragonal

Cell lengths 5.6625, 4.9810, 5.6625 Å; angles 90.00, 90.00, 90.00 degrees
Fractional positions:
Y (0.0000, 0.0000, 0.5000)
Y (0.5000, 0.0000, 0.0000)
Hf (0.0000, 0.0000, 0.0000)
Se (0.0000, 0.5000, 0.0000)
Ag (0.5000, 0.5000, 0.5000)

ΔE_f (raw) (computed, eV per atom): 0.24 0.94 -0.50 -0.41 -1.19 0.12 -0.50 -0.63 -0.82 -0.60 -1.18 1.37 0.36